First-principles (PBE) data for crystalline TbPmIrRh at its relaxed geometry, as listed in the Alexandria database.

## Properties
- raw total energy (eV per cell) = -28.6
- formation energy from the elements (meV per atom) = -749

a = 4.923 Å, b = 4.923 Å, c = 4.923 Å
α = 60.00°, β = 60.00°, γ = 60.00°
Fractional positions:
Rh 0.000 0.000 0.000
Tb 0.250 0.250 0.250
Ir 0.500 0.500 0.500
Pm 0.750 0.750 0.750